(1)
A relaxed CoTeIrSe2 crystal. Source: Alexandria via LeMat-Bulk, functional PBE.

Symmetry: No. 123
Uncorrected formation energy in eV/atom: 1.645
Density of states at the Fermi level in states/eV/f.u.: 8.6

```
CoTeIrSe2
1.0
-3.1633 3.9559 -1.7789
-3.1101 -3.1370 -1.4456
-2.4310 0.2065 4.7820
Te Ir Se Co
1 1 2 1
direct
0.0000 0.0000 0.0000
0.5000 0.5000 0.5000
0.5000 0.0000 0.0000
0.0000 0.0000 0.5000
0.0000 0.5000 0.0000
```

---

(2)
A relaxed Th8CoIr3Se4 crystal. Source: Alexandria via LeMat-Bulk, functional PBE.

Symmetry: No. 12
Uncorrected formation energy in eV/atom: -1.241
Density of states at the Fermi level in states/eV/f.u.: 11.1

```
Th8CoIr3Se4
1.0
-2.3090 7.2138 3.1720
-8.2744 -1.6307 -2.3146
3.8448 -5.5165 4.7151
Th Ir Se Co
8 3 4 1
direct
0.2352 0.7147 0.4705
0.7402 0.7188 0.4805
0.7644 0.2856 0.0195
0.2356 0.7144 0.9805
0.7648 0.2853 0.5295
0.2598 0.2812 0.5195
0.7449 0.7144 0.9805
0.2551 0.2856 0.0195
0.0000 0.5000 0.5000
0.5000 0.5000 0.5000
0.5000 0.5000 0.0000
0.0000 0.0000 0.5000
0.5000 0.0000 0.5000
0.0000 0.0000 0.0000
0.5000 0.0000 0.0000
0.0000 0.5000 0.0000
```

---

(3)
A relaxed Th6CoIr2Se3 crystal. Source: Alexandria via LeMat-Bulk, functional PBE.

Symmetry: No. 12
Uncorrected formation energy in eV/atom: -1.183
Density of states at the Fermi level in states/eV/f.u.: 10.2

```
Th6CoIr2Se3
1.0
4.1385 0.0000 0.0000
0.0000 8.7450 -0.0585
-2.0692 -2.9071 8.8728
Th Se Ir Co
6 3 2 1
direct
0.3257 0.4315 0.6514
0.0069 0.2257 0.0137
0.3468 0.9047 0.6937
0.6532 0.0953 0.3063
0.6743 0.5685 0.3486
0.9931 0.7743 0.9863
0.8322 0.1650 0.6645
0.5000 0.5000 0.0000
0.1678 0.8350 0.3355
0.1657 0.3325 0.3313
0.8343 0.6675 0.6687
0.5000 0.0000 0.0000
```

---

(4)
A relaxed YCoIr2Se crystal. Source: Alexandria via LeMat-Bulk, functional PBE.

Symmetry: No. 123
Uncorrected formation energy in eV/atom: 1.935
Density of states at the Fermi level in states/eV/f.u.: 10.7

```
YCoIr2Se
1.0
-0.7057 -0.4946 -4.9490
3.8504 -2.6060 -0.2886
-2.7380 -4.1344 0.8036
Ir Y Se Co
2 1 1 1
direct
0.5000 0.0000 0.0000
0.0000 0.0000 0.5000
0.0000 0.0000 0.0000
0.5000 0.5000 0.5000
0.0000 0.5000 0.0000
```

---

(5)
A relaxed Zr2CoIrSe crystal. Source: Alexandria via LeMat-Bulk, functional PBE.

Symmetry: No. 123
Uncorrected formation energy in eV/atom: 0.164
Density of states at the Fermi level in states/eV/f.u.: 5.4

```
Zr2CoIrSe
1.0
4.8611 0.0000 0.0000
0.0000 4.8611 0.0000
0.0000 0.0000 4.3765
Ir Se Co Zr
1 1 1 2
direct
0.0000 0.0000 0.5000
0.5000 0.5000 0.5000
0.0000 0.0000 0.0000
0.0000 0.5000 0.0000
0.5000 0.0000 0.0000
```

---

(6)
A relaxed Zr2CoIrSe crystal. Source: Alexandria via LeMat-Bulk, functional PBE.

Symmetry: No. 123
Uncorrected formation energy in eV/atom: 0.299
Density of states at the Fermi level in states/eV/f.u.: 7.8

```
Zr2CoIrSe
1.0
-1.4806 -2.2693 -4.3154
4.2094 -0.4274 -1.2195
0.2096 -4.5354 2.3131
Zr Se Co Ir
2 1 1 1
direct
0.5000 0.0000 0.0000
0.0000 0.0000 0.5000
0.5000 0.5000 0.5000
0.0000 0.5000 0.0000
0.0000 0.0000 0.0000
```

---

(7)
A relaxed CoSi2Ir crystal. Source: Alexandria via LeMat-Bulk, functional PBE.

Symmetry: No. 166
Uncorrected formation energy in eV/atom: -0.370
Density of states at the Fermi level in states/eV/f.u.: 2.7

```
CoSi2Ir
1.0
-2.9129 2.6984 -6.5345
-1.4973 0.4984 -7.4817
-4.0687 0.1683 -6.4718
Si Ir Co
2 1 1
direct
0.5050 0.5050 0.5050
0.9950 0.9950 0.9950
0.7500 0.7500 0.7500
0.2500 0.2500 0.2500
```

---

(8)
A relaxed CoSiIr crystal. Source: Alexandria via LeMat-Bulk, functional PBE.

Symmetry: No. 156
Uncorrected formation energy in eV/atom: -0.291
Density of states at the Fermi level in states/eV/f.u.: 2.9

```
CoSiIr
1.0
-0.6519 2.4346 3.0691
1.3757 -3.6710 0.6348
2.5956 0.9392 -0.1937
Si Ir Co
1 1 1
direct
0.3333 0.6667 0.7209
0.6667 0.3333 0.3885
0.0000 0.0000 0.8905
```

---

(9)
A relaxed CoSiIr2 crystal. Source: Alexandria via LeMat-Bulk, functional PBE.

Symmetry: No. 123
Uncorrected formation energy in eV/atom: -0.251
Density of states at the Fermi level in states/eV/f.u.: 2.7

```
CoSiIr2
1.0
-1.4674 -1.6428 1.7862
1.5249 -2.2480 -0.8147
4.3855 1.2518 4.7543
Co Ir Si
1 2 1
direct
0.5000 0.5000 0.7500
0.0000 0.0000 0.0245
0.0000 0.0000 0.4755
0.5000 0.5000 0.2500
```

---

(10)
A relaxed CoSi2Ir crystal. Source: Alexandria via LeMat-Bulk, functional PBE.

Symmetry: No. 122
Uncorrected formation energy in eV/atom: -0.169
Density of states at the Fermi level in states/eV/f.u.: 2.7

```
CoSi2Ir
1.0
3.8375 0.0000 0.0000
0.0000 3.8375 0.0000
1.9187 1.9187 7.6266
Si Ir Co
4 2 2
direct
0.3750 0.4113 0.7500
0.1613 0.6250 0.2500
0.5887 0.1250 0.2500
0.8750 0.8387 0.7500
0.0000 0.0000 0.0000
0.7500 0.2500 0.5000
0.2500 0.7500 0.5000
0.5000 0.5000 0.0000
```

---

(11)
A relaxed CoSiIr2 crystal. Source: Alexandria via LeMat-Bulk, functional PBE.

Symmetry: No. 44
Uncorrected formation energy in eV/atom: -0.225
Density of states at the Fermi level in states/eV/f.u.: 4.6

```
CoSiIr2
1.0
-4.0326 0.1343 -3.0721
-2.5464 -4.2619 -1.0342
1.6136 3.2899 3.5058
Si Co Ir
1 1 2
direct
0.4940 0.4940 0.0000
0.2847 0.7847 0.5000
0.7200 0.2200 0.5000
0.0013 0.0013 0.0000
```

---

(12)
A relaxed Co3SiIr crystal. Source: Alexandria via LeMat-Bulk, functional PBE.

Symmetry: No. 221
Uncorrected formation energy in eV/atom: 0.818
Density of states at the Fermi level in states/eV/f.u.: 7.4

```
Co3SiIr
1.0
-0.6172 -3.8952 1.1630
3.0042 0.3554 2.7847
-2.7386 1.2677 2.7927
Si Ir Co
1 1 3
direct
0.0000 0.0000 0.0000
0.5000 0.5000 0.5000
0.5000 0.0000 0.0000
0.0000 0.0000 0.5000
0.0000 0.5000 0.0000
```